[1]
First-principles (PBE-GGA) data for a relaxed CaMnAs2 crystal, as listed in Alexandria via LeMat-Bulk.

Cell and atoms, written as POSCAR:
```
CaMnAs2
1.0
-3.8894 2.0585 1.3655
-1.4932 3.7777 -2.1746
-3.7657 -0.2025 -2.6473
As Ca Mn
2 1 1
direct
0.7500 0.7500 0.7500
0.2500 0.2500 0.2500
0.0000 0.0000 0.0000
0.5000 0.5000 0.5000
```

## Properties
energy of formation: -0.2 eV per formula unit
crystal system: cubic

[2]
First-principles (PBE-GGA) data for a relaxed CaMn2As crystal, as listed in Alexandria via LeMat-Bulk.

Cell and atoms, written as POSCAR:
```
CaMn2As
1.0
-0.2092 -0.9566 -3.8845
3.4455 -0.0946 -0.1623
1.6244 -5.5818 1.2871
Ca As Mn
1 1 2
direct
0.5000 0.7088 0.7098
0.0000 0.3366 0.4525
0.0000 0.0036 0.1161
0.5000 0.4509 0.2216
```

## Properties
energy of formation: -0.1 eV per formula unit
crystal system: monoclinic

[3]
First-principles (PBE-GGA) data for a relaxed CaMnNb2As crystal, as listed in Alexandria via LeMat-Bulk.

Cell and atoms, written as POSCAR:
```
CaMnNb2As
1.0
-2.5900 -3.0014 2.8753
-0.1181 -3.0183 -3.2571
4.1544 -1.9754 1.6800
Nb Ca Mn As
2 1 1 1
direct
0.0000 0.0000 0.5000
0.5000 0.0000 0.0000
0.5000 0.5000 0.5000
0.0000 0.5000 0.0000
0.0000 0.0000 0.0000
```

## Properties
energy of formation: 3.2 eV per formula unit
crystal system: tetragonal

[4]
First-principles (PBE-GGA) data for a relaxed CaMnNiAs2 crystal, as listed in Alexandria via LeMat-Bulk.

Cell and atoms, written as POSCAR:
```
CaMnNiAs2
1.0
3.8781 0.0000 0.0000
0.0000 3.8781 0.0000
-1.9391 -1.9391 5.7964
Ca As Ni Mn
1 2 1 1
direct
0.0000 0.0000 0.0000
0.6360 0.6360 0.2720
0.3640 0.3640 0.7280
0.2500 0.7500 0.5000
0.7500 0.2500 0.5000
```

## Properties
energy of formation: -2.8 eV per formula unit
crystal system: tetragonal
ΔE to the lowest computed polymorph: 0 meV/atom

[5]
First-principles (PBE-GGA) data for a relaxed Ca2MnNi4As3 crystal, as listed in Alexandria via LeMat-Bulk.

Cell and atoms, written as POSCAR:
```
Ca2MnNi4As3
1.0
4.0251 0.0000 0.0000
0.0000 4.0251 0.0000
0.0000 0.0000 10.0376
Ni As Ca Mn
4 3 2 1
direct
0.5000 0.5000 0.0000
0.0000 0.0000 0.0000
0.0000 0.5000 0.3648
0.5000 0.0000 0.6352
0.0000 0.0000 0.5000
0.5000 0.0000 0.8683
0.0000 0.5000 0.1317
0.0000 0.5000 0.7557
0.5000 0.0000 0.2443
0.5000 0.5000 0.5000
```

## Properties
energy of formation: -5.7 eV per formula unit
crystal system: tetragonal

[6]
First-principles (PBE-GGA) data for a relaxed CaMnNiAs2 crystal, as listed in Alexandria via LeMat-Bulk.

Cell and atoms, written as POSCAR:
```
CaMnNiAs2
1.0
4.7372 0.0000 0.0000
0.0000 4.5973 0.0000
0.0000 0.0000 4.7372
Ca Mn Ni As
1 1 1 2
direct
0.5000 0.5000 0.5000
0.0000 0.5000 0.0000
0.0000 0.0000 0.0000
0.5000 0.0000 0.0000
0.0000 0.0000 0.5000
```

## Properties
energy of formation: -0.1 eV per formula unit
crystal system: tetragonal
ΔE to the lowest computed polymorph: 540 meV/atom